# 1
Dy15Er4In, optimized geometry, DFT GGA-PBE; volume = 613 Å³/cell; crystal system = tetragonal; formation enthalpy at 0 K = -0.035 eV per atom; E = -4.5356 eV per atom
1.0
4.9489 0.0000 0.0000
0.0000 4.9489 0.0000
0.0000 0.0000 25.0367
Dy Er In
15 4 1
direct
0.0000 0.0000 0.0000 Dy
0.0000 0.0000 0.1961 Dy
0.0000 0.0000 0.3986 Dy
0.0000 0.0000 0.6014 Dy
0.0000 0.0000 0.8039 Dy
0.0000 0.5000 0.0971 Dy
0.0000 0.5000 0.2983 Dy
0.0000 0.5000 0.5000 Dy
0.0000 0.5000 0.7017 Dy
0.0000 0.5000 0.9029 Dy
0.5000 0.0000 0.0971 Dy
0.5000 0.0000 0.2983 Dy
0.5000 0.0000 0.5000 Dy
0.5000 0.0000 0.7017 Dy
0.5000 0.0000 0.9029 Dy
0.5000 0.5000 0.1981 Er
0.5000 0.5000 0.3992 Er
0.5000 0.5000 0.6008 Er
0.5000 0.5000 0.8019 Er
0.5000 0.5000 0.0000 In


# 2
La2ReBi, optimized geometry, DFT GGA-PBE; volume = 463 Å³/cell; crystal system = tetragonal; formation enthalpy at 0 K = 0.126 eV per atom; E = -6.4202 eV per atom
1.0
8.5327 0.0000 0.0000
0.0000 8.5327 0.0000
0.0000 0.0000 6.3595
La Re Bi
8 4 4
direct
0.1817 0.2500 0.1250 La
0.2500 0.6817 0.3750 La
0.2500 0.8183 0.8750 La
0.3183 0.2500 0.6250 La
0.6817 0.7500 0.6250 La
0.7500 0.1817 0.8750 La
0.7500 0.3183 0.3750 La
0.8183 0.7500 0.1250 La
0.0000 0.0000 0.0000 Re
0.0000 0.5000 0.2500 Re
0.5000 0.0000 0.7500 Re
0.5000 0.5000 0.5000 Re
0.0000 0.0000 0.5000 Bi
0.0000 0.5000 0.7500 Bi
0.5000 0.0000 0.2500 Bi
0.5000 0.5000 0.0000 Bi


# 3
YB2F8, optimized geometry, DFT GGA-PBE; volume = 164 Å³/cell; crystal system = monoclinic; E = -6.0944 eV per atom; E_form (uncorrected) = -2.93 eV per atom
1.0
6.3840 -2.4408 0.0000
6.3840 2.4408 0.0000
-1.2400 0.0000 5.2536
Y B F
1 2 8
direct
0.0000 0.0000 0.0000 Y
0.1604 0.1604 0.6616 B
0.8396 0.8396 0.3384 B
0.1105 0.1105 0.3896 F
0.1101 0.6541 0.2262 F
0.2692 0.2692 0.6994 F
0.3459 0.8899 0.7738 F
0.6541 0.1101 0.2262 F
0.7308 0.7308 0.3006 F
0.8899 0.3459 0.7738 F
0.8895 0.8895 0.6104 F


Number 3 is which compound?
YB2F8


Look up the volume of the first one.
613 Å³/cell


Repeat the second record exactly.
La2ReBi, optimized geometry, DFT GGA-PBE; volume = 463 Å³/cell; crystal system = tetragonal; formation enthalpy at 0 K = 0.126 eV per atom; E = -6.4202 eV per atom
1.0
8.5327 0.0000 0.0000
0.0000 8.5327 0.0000
0.0000 0.0000 6.3595
La Re Bi
8 4 4
direct
0.1817 0.2500 0.1250 La
0.2500 0.6817 0.3750 La
0.2500 0.8183 0.8750 La
0.3183 0.2500 0.6250 La
0.6817 0.7500 0.6250 La
0.7500 0.1817 0.8750 La
0.7500 0.3183 0.3750 La
0.8183 0.7500 0.1250 La
0.0000 0.0000 0.0000 Re
0.0000 0.5000 0.2500 Re
0.5000 0.0000 0.7500 Re
0.5000 0.5000 0.5000 Re
0.0000 0.0000 0.5000 Bi
0.0000 0.5000 0.7500 Bi
0.5000 0.0000 0.2500 Bi
0.5000 0.5000 0.0000 Bi